VASP calculation (GGA-PBE) on an optimized crystal structure of TaSbBrO2.

**N(E_F)**: 7.0 states/eV/f.u.
**Final energy**: -4.691 eV/atom
**Raw formation energy**: 0.8214 eV per atom

abc: 4.024 4.024 5.354
angles: 90.00 90.00 90.00
Space group P4/mmm (No. 123)
Unique sites:
1 Ta 0.000 0.000 0.000
2 Sb 0.500 0.500 0.000
3 Br 0.000 0.000 0.500
4 O 0.000 0.500 0.500

***

VASP calculation (GGA-PBE) on an optimized crystal structure of CaAgRh.

**Energy relative to the elements**: -59.1 meV per atom
**N(E_F)**: 2.5 states/eV/f.u.
**Final energy**: -4.127 eV/atom

abc: 8.838 5.747 5.157
angles: 90.00 111.30 90.00
Space group C2/m (No. 12)
Unique sites:
1 Ca 0.122 0.000 0.341
2 Ag 0.036 0.500 0.270
3 Rh 0.250 0.250 0.000

***

VASP calculation (GGA-PBE) on an optimized crystal structure of Mg2ZnOs.

**Energy relative to the elements**: 133.6 meV per atom
**N(E_F)**: 1.6 states/eV/f.u.
**Final energy**: -3.790 eV/atom

abc: 4.282 4.282 3.481
angles: 90.00 90.00 90.00
Space group P4/mmm (No. 123)
Unique sites:
1 Mg 0.000 0.500 0.000
2 Zn 0.000 0.000 0.500
3 Os 0.500 0.500 0.500

***

VASP calculation (GGA-PBE) on an optimized crystal structure of SiPbO3.

**N(E_F)**: 0.0 states/eV/f.u.
**Final energy**: -6.979 eV/atom
**Raw formation energy**: -2.1779 eV per atom

abc: 11.401 7.175 13.233
angles: 90.00 119.53 90.00
Space group P2/c (No. 13)
Unique sites:
1 Si 0.035 0.133 0.154
2 Si 0.253 0.178 0.538
3 Si 0.362 0.407 0.394
4 Pb 0.069 0.378 0.657
5 Pb 0.299 0.313 0.101
6 Pb 0.370 0.051 0.821
7 O 0.000 0.231 0.250
8 O 0.096 0.297 0.107
9 O 0.113 0.061 0.454
10 O 0.135 0.045 0.709
11 O 0.225 0.363 0.594
12 O 0.253 0.427 0.837
13 O 0.320 0.238 0.457
14 O 0.359 0.036 0.639
15 O 0.399 0.290 0.306
16 O 0.500 0.500 0.000

***

VASP calculation (GGA-PBE) on an optimized crystal structure of Rb2YHfF6.

**N(E_F)**: 10.3 states/eV/f.u.
**Final energy**: -5.863 eV/atom
**Raw formation energy**: -2.9053 eV per atom

abc: 6.081 6.081 12.287
angles: 90.00 90.00 90.00
Space group I4/mmm (No. 139)
Unique sites:
1 Rb 0.000 0.500 0.250
2 Y 0.000 0.000 0.000
3 Hf 0.000 0.000 0.500
4 F 0.000 0.000 0.174
5 F 0.242 0.242 0.500

***

VASP calculation (GGA-PBE) on an optimized crystal structure of Tl3Bi4Se8.

**N(E_F)**: 3.2 states/eV/f.u.
**Final energy**: -3.703 eV/atom
**Raw formation energy**: -0.3360 eV per atom

abc: 12.180 12.141 8.557
angles: 90.00 134.20 90.00
Space group C2/m (No. 12)
Unique sites:
1 Tl 0.000 0.000 0.000
2 Tl 0.250 0.250 0.000
3 Bi 0.000 0.500 0.000
4 Bi 0.000 0.500 0.500
5 Bi 0.250 0.250 0.500
6 Se 0.000 0.254 0.500
7 Se 0.000 0.257 0.000
8 Se 0.235 0.500 0.985
9 Se 0.238 0.500 0.483

***

VASP calculation (GGA-PBE) on an optimized crystal structure of Pr2CdBr.

**N(E_F)**: 3.3 states/eV/f.u.
**Final energy**: -3.712 eV/atom
**Raw formation energy**: -0.6748 eV per atom

abc: 3.8204 3.8204 28.8371
angles: 90.00 90.00 120.00
Space group R-3m (No. 166, hexagonal axes)
Unique sites:
1 Pr 0.0000 0.0000 0.2494
2 Cd 0.0000 0.0000 0.0000
3 Br 0.0000 0.0000 0.5000

***

VASP calculation (GGA-PBE) on an optimized crystal structure of YTc2As2.

**Energy relative to the elements**: -563.3 meV per atom
**N(E_F)**: 3.4 states/eV/f.u.
**Final energy**: -7.862 eV/atom

abc: 4.313 4.313 9.887
angles: 90.00 90.00 90.00
Space group I4/mmm (No. 139)
Unique sites:
1 Y 0.000 0.000 0.000
2 Tc 0.000 0.500 0.250
3 As 0.000 0.000 0.368

***

VASP calculation (GGA-PBE) on an optimized crystal structure of GaSn2Pd4.

**Energy relative to the elements**: -493.9 meV per atom
**N(E_F)**: 2.5 states/eV/f.u.
**Final energy**: -5.037 eV/atom

abc: 6.332 6.732 7.107
angles: 110.80 103.09 108.53
Space group P1 (No. 1)
Unique sites:
1 Ga 0.000 0.000 0.000
2 Ga 0.319 0.529 0.896
3 Sn 0.207 0.886 0.508
4 Sn 0.586 0.652 0.465
5 Sn 0.686 0.369 0.809
6 Sn 0.771 0.209 0.321
7 Pd 0.016 0.634 0.698
8 Pd 0.062 0.445 0.153
9 Pd 0.255 0.297 0.482
10 Pd 0.313 0.892 0.164
11 Pd 0.426 0.283 0.071
12 Pd 0.547 0.908 0.843
13 Pd 0.780 0.769 0.180
14 Pd 0.939 0.105 0.680

***

VASP calculation (GGA-PBE) on an optimized crystal structure of AcZrNO2.

**N(E_F)**: 0.0 states/eV/f.u.
**Final energy**: -8.816 eV/atom
**Raw formation energy**: -2.6368 eV per atom

abc: 3.973 3.973 5.205
angles: 90.00 90.00 90.00
Space group P4mm (No. 99)
Unique sites:
1 Ac 0.000 0.000 0.000
2 Zr 0.500 0.500 0.457
3 N 0.500 0.500 0.842
4 O 0.000 0.500 0.323

***

VASP calculation (GGA-PBE) on an optimized crystal structure of Ni2AsIr.

**Energy relative to the elements**: -34.5 meV per atom
**N(E_F)**: 3.8 states/eV/f.u.
**Final energy**: -6.303 eV/atom

abc: 3.710 3.710 3.711
angles: 90.00 90.00 90.00
Space group P4/mmm (No. 123)
Unique sites:
1 Ni 0.000 0.500 0.000
2 As 0.000 0.000 0.500
3 Ir 0.500 0.500 0.500